<w>
The following is a DFT calculation (PBE) of Tb7PmEr12 after structural relaxation.

abc: 9.679 9.679 9.679
angles: 109.47 109.47 109.47
Sites, in units of the cell vectors:
1 Er 0.507 0.254 0.253
2 Er 0.253 0.507 0.254
3 Er 0.999 0.746 0.253
4 Er 0.747 0.493 0.746
5 Er 0.254 0.747 0.001
6 Er 0.746 0.253 0.999
7 Er 0.001 0.254 0.747
8 Er 0.253 0.999 0.746
9 Er 0.746 0.747 0.493
10 Er 0.493 0.746 0.747
11 Er 0.747 0.001 0.254
12 Er 0.254 0.253 0.507
13 Tb 0.500 0.000 0.000
14 Tb 0.500 0.000 0.500
15 Tb 0.500 0.500 0.500
16 Tb 0.000 0.500 0.500
17 Tb 0.000 0.000 0.500
18 Tb 0.000 0.500 0.000
19 Tb 0.500 0.500 0.000
20 Pm 0.000 0.000 0.000

Calculated values
The value obtained for the spin magnetization is 0.0 μB/f.u.

<x>
The following is a DFT calculation (PBE) of Tb7PmEr12 after structural relaxation.

abc: 8.634 8.634 8.634
angles: 95.20 95.20 95.20
Sites, in units of the cell vectors:
1 Er 0.147 0.415 0.479
2 Er 0.853 0.585 0.521
3 Er 0.585 0.521 0.853
4 Er 0.682 0.812 0.251
5 Er 0.318 0.188 0.749
6 Er 0.415 0.479 0.147
7 Er 0.812 0.251 0.682
8 Er 0.521 0.853 0.585
9 Er 0.188 0.749 0.318
10 Er 0.251 0.682 0.812
11 Er 0.479 0.147 0.415
12 Er 0.749 0.318 0.188
13 Tb 0.982 0.917 0.647
14 Tb 0.083 0.353 0.018
15 Tb 0.353 0.018 0.083
16 Tb 0.647 0.982 0.917
17 Tb 0.500 0.500 0.500
18 Tb 0.018 0.083 0.353
19 Tb 0.917 0.647 0.982
20 Pm 0.000 0.000 0.000

Calculated values
The value obtained for the spin magnetization is 0.0 μB/f.u.

It turns out <x> is the most stable, with the second structure 39.3 kJ/mol of atoms higher.

<w>
The following is a DFT calculation (PBE) of Tb2Pm3Er4 after structural relaxation.

abc: 3.567 6.165 15.118
angles: 65.94 90.00 106.82
Sites, in units of the cell vectors:
1 Er 0.000 0.001 0.331
2 Er 0.000 0.999 0.669
3 Er 0.333 0.667 0.889
4 Er 0.667 0.333 0.111
5 Pm 0.000 0.000 0.000
6 Pm 0.334 0.667 0.557
7 Pm 0.666 0.333 0.443
8 Tb 0.667 0.334 0.779
9 Tb 0.333 0.666 0.221

Calculated values
The value obtained for the spin magnetization is 0.0 μB/f.u.

<x>
The following is a DFT calculation (PBE) of Tb2Pm3Er4 after structural relaxation.

abc: 6.070 11.248 11.248
angles: 62.01 63.17 63.17
Sites, in units of the cell vectors:
1 Er 0.582 0.420 0.147
2 Er 0.577 0.089 0.816
3 Er 0.082 0.147 0.420
4 Er 0.918 0.853 0.580
5 Er 0.418 0.580 0.853
6 Er 0.423 0.911 0.184
7 Er 0.923 0.184 0.911
8 Er 0.077 0.816 0.089
9 Pm 0.250 0.601 0.399
10 Pm 0.243 0.935 0.733
11 Pm 0.750 0.399 0.601
12 Pm 0.257 0.267 0.065
13 Pm 0.757 0.065 0.267
14 Pm 0.743 0.733 0.935
15 Tb 0.577 0.758 0.483
16 Tb 0.923 0.517 0.242
17 Tb 0.077 0.483 0.758
18 Tb 0.423 0.242 0.517

Calculated values
The value obtained for the spin magnetization is 0.0 μB/f.u.

It turns out <w> is the most stable, with the second structure 8.0 kJ/mol of atoms higher.

<w>
The following is a DFT calculation (PBE) of Tb3PmEr7 after structural relaxation.

abc: 8.821 9.873 5.496
angles: 90.01 128.52 105.25
Sites, in units of the cell vectors:
1 Er 0.822 0.641 0.322
2 Er 0.351 0.710 0.851
3 Er 0.178 0.359 0.678
4 Er 0.924 0.831 0.924
5 Er 0.076 0.169 0.076
6 Er 0.500 0.000 0.500
7 Er 0.649 0.290 0.149
8 Tb 0.000 0.500 0.000
9 Tb 0.221 0.004 0.722
10 Tb 0.779 0.996 0.278
11 Pm 0.500 0.500 0.500

Calculated values
The value obtained for the spin magnetization is 0.0 μB/f.u.

<x>
The following is a DFT calculation (PBE) of Tb3PmEr7 after structural relaxation.

abc: 5.758 8.372 8.372
angles: 83.35 110.18 110.18
Sites, in units of the cell vectors:
1 Er 0.291 0.985 0.597
2 Er 0.794 0.794 0.794
3 Er 0.000 0.500 0.500
4 Er 0.206 0.206 0.206
5 Er 0.291 0.597 0.985
6 Er 0.709 0.403 0.015
7 Er 0.709 0.015 0.403
8 Tb 0.000 0.792 0.208
9 Tb 0.000 0.208 0.792
10 Tb 0.500 0.000 0.000
11 Pm 0.500 0.500 0.500

Calculated values
The value obtained for the spin magnetization is 0.0 μB/f.u.

It turns out <w> is the most stable, with the second structure 10.9 kJ/mol of atoms higher.

<w>
The following is a DFT calculation (PBE) of Tb7Pm3Er after structural relaxation.

abc: 8.912 10.106 5.552
angles: 89.99 128.54 106.39
Sites, in units of the cell vectors:
1 Pm 0.000 0.500 0.000
2 Pm 0.784 0.003 0.284
3 Pm 0.216 0.997 0.716
4 Tb 0.094 0.171 0.094
5 Tb 0.642 0.289 0.142
6 Tb 0.815 0.637 0.315
7 Tb 0.185 0.363 0.685
8 Tb 0.906 0.829 0.906
9 Tb 0.358 0.711 0.858
10 Tb 0.500 0.000 0.500
11 Er 0.500 0.500 0.500

Calculated values
The value obtained for the spin magnetization is 0.0 μB/f.u.

<x>
The following is a DFT calculation (PBE) of Tb7Pm3Er after structural relaxation.

abc: 5.867 8.451 8.451
angles: 83.36 110.31 110.31
Site moments in Bohr magnetons follow the coordinates.
Sites, in units of the cell vectors:
1 Tb 0.702 0.001 0.403  0.00
2 Tb 0.207 0.207 0.207  0.01
3 Tb 0.298 0.999 0.597  0.00
4 Tb 0.298 0.597 0.999  0.00
5 Tb 0.000 0.500 0.500  0.12
6 Tb 0.702 0.403 0.001  0.00
7 Tb 0.793 0.793 0.793  0.01
8 Pm 0.000 0.788 0.212  0.00
9 Pm 0.500 0.000 0.000  0.00
10 Pm 0.000 0.212 0.788  0.00
11 Er 0.500 0.500 0.500  0.13

Calculated values
The value obtained for the spin magnetization is 0.3 μB/f.u.

It turns out <w> is the most stable, with the second structure 12.2 kJ/mol of atoms higher.

<w>
The following is a DFT calculation (PBE) of Tb4PmEr5 after structural relaxation.

abc: 6.241 7.854 7.854
angles: 80.92 66.59 66.59
Sites, in units of the cell vectors:
1 Er 0.803 0.378 0.914
2 Er 0.717 0.086 0.378
3 Er 0.181 0.914 0.622
4 Er 0.095 0.622 0.086
5 Er 0.681 0.000 0.000
6 Tb 0.802 0.700 0.601
7 Tb 0.502 0.601 0.300
8 Tb 0.404 0.399 0.700
9 Tb 0.104 0.300 0.399
10 Pm 0.222 0.000 0.000

Calculated values
The value obtained for the spin magnetization is 0.0 μB/f.u.

<x>
The following is a DFT calculation (PBE) of Tb4PmEr5 after structural relaxation.

abc: 3.545 6.750 14.320
angles: 95.64 101.46 106.54
Sites, in units of the cell vectors:
1 Tb 0.594 0.190 0.783
2 Tb 0.155 0.274 0.195
3 Tb 0.406 0.810 0.217
4 Tb 0.845 0.726 0.805
5 Er 0.949 0.574 0.387
6 Er 0.240 0.120 0.417
7 Er 0.500 0.500 0.000
8 Er 0.051 0.426 0.613
9 Er 0.760 0.880 0.583
10 Pm 0.500 0.000 0.000

Calculated values
The value obtained for the spin magnetization is 0.0 μB/f.u.

It turns out <x> is the most stable, with the second structure 23.4 kJ/mol of atoms higher.

<w>
The following is a DFT calculation (PBE) of Tb2Pm3Er5 after structural relaxation.

abc: 9.390 9.381 11.088
angles: 125.01 125.03 69.15
Sites, in units of the cell vectors:
1 Er 0.143 0.393 0.272
2 Er 0.528 0.278 0.556
3 Er 0.472 0.722 0.444
4 Er 0.026 0.776 0.551
5 Er 0.857 0.607 0.728
6 Er 0.629 0.879 0.272
7 Er 0.974 0.224 0.449
8 Er 0.272 0.522 0.044
9 Er 0.371 0.121 0.728
10 Er 0.728 0.478 0.956
11 Pm 0.233 0.983 0.967
12 Pm 0.270 0.525 0.748
13 Pm 0.730 0.475 0.252
14 Pm 0.977 0.223 0.748
15 Pm 0.767 0.017 0.033
16 Pm 0.023 0.777 0.252
17 Tb 0.231 0.984 0.262
18 Tb 0.468 0.722 0.738
19 Tb 0.769 0.016 0.738
20 Tb 0.532 0.278 0.262

Calculated values
The value obtained for the spin magnetization is 0.0 μB/f.u.

<x>
The following is a DFT calculation (PBE) of Tb2Pm3Er5 after structural relaxation.

abc: 6.296 11.037 11.037
angles: 99.08 73.43 73.43
Sites, in units of the cell vectors:
1 Pm 0.842 0.911 0.404
2 Pm 0.342 0.404 0.911
3 Pm 0.250 0.000 0.000
4 Pm 0.750 0.000 0.000
5 Pm 0.158 0.089 0.596
6 Pm 0.658 0.596 0.089
7 Er 0.402 0.754 0.443
8 Er 0.503 0.747 0.747
9 Er 0.997 0.253 0.253
10 Er 0.003 0.747 0.747
11 Er 0.098 0.557 0.246
12 Er 0.497 0.253 0.253
13 Er 0.598 0.246 0.557
14 Er 0.250 0.500 0.500
15 Er 0.902 0.443 0.754
16 Er 0.750 0.500 0.500
17 Tb 0.896 0.260 0.948
18 Tb 0.396 0.948 0.260
19 Tb 0.104 0.740 0.052
20 Tb 0.604 0.052 0.740

Calculated values
The value obtained for the spin magnetization is 0.0 μB/f.u.

It turns out <w> is the most stable, with the second structure 14.3 kJ/mol of atoms higher.

<w>
The following is a DFT calculation (PBE) of TbPm2Er7 after structural relaxation.

abc: 3.504 14.681 14.681
angles: 154.67 90.00 90.00
Sites, in units of the cell vectors:
1 Er 0.500 0.345 0.148
2 Er 0.000 0.816 0.184
3 Er 0.500 0.852 0.655
4 Er 0.500 0.148 0.345
5 Er 0.000 0.184 0.816
6 Er 0.500 0.655 0.852
7 Er 0.500 0.500 0.500
8 Pm 0.500 0.708 0.292
9 Pm 0.500 0.292 0.708
10 Tb 0.000 0.000 0.000

Calculated values
The value obtained for the spin magnetization is 0.0 μB/f.u.

<x>
The following is a DFT calculation (PBE) of TbPm2Er7 after structural relaxation.

abc: 6.127 9.358 7.914
angles: 115.00 130.24 77.42
Sites, in units of the cell vectors:
1 Er 0.300 0.101 0.801
2 Er 0.201 0.401 0.201
3 Er 0.100 0.699 0.601
4 Er 0.900 0.301 0.399
5 Er 0.799 0.599 0.799
6 Er 0.500 0.500 0.000
7 Er 0.700 0.899 0.199
8 Pm 0.601 0.202 0.602
9 Pm 0.399 0.798 0.398
10 Tb 0.000 0.000 0.000

Calculated values
The value obtained for the spin magnetization is 0.0 μB/f.u.

It turns out <x> is the most stable, with the second structure 13.5 kJ/mol of atoms higher.

<w>
The following is a DFT calculation (PBE) of TbPm3Er3 after structural relaxation.

abc: 5.725 9.603 9.603
angles: 120.00 90.00 90.00
Sites, in units of the cell vectors:
1 Pm 0.750 0.758 0.807
2 Pm 0.250 0.950 0.758
3 Pm 0.750 0.050 0.242
4 Pm 0.250 0.242 0.193
5 Pm 0.750 0.193 0.951
6 Pm 0.250 0.807 0.049
7 Er 0.250 0.383 0.905
8 Er 0.250 0.095 0.478
9 Er 0.750 0.905 0.522
10 Er 0.750 0.617 0.095
11 Er 0.250 0.521 0.617
12 Er 0.750 0.479 0.383
13 Tb 0.750 0.333 0.667
14 Tb 0.250 0.667 0.333

Calculated values
The value obtained for the spin magnetization is 0.0 μB/f.u.

<x>
The following is a DFT calculation (PBE) of TbPm3Er3 after structural relaxation.

abc: 6.193 6.193 14.787
angles: 77.91 77.91 60.00
Sites, in units of the cell vectors:
1 Pm 0.200 0.869 0.393
2 Pm 0.538 0.200 0.393
3 Pm 0.869 0.538 0.393
4 Pm 0.462 0.800 0.607
5 Pm 0.131 0.462 0.607
6 Pm 0.800 0.131 0.607
7 Er 0.065 0.732 0.805
8 Er 0.602 0.935 0.195
9 Er 0.935 0.268 0.195
10 Er 0.398 0.065 0.805
11 Er 0.732 0.398 0.805
12 Er 0.268 0.602 0.195
13 Tb 0.333 0.333 0.000
14 Tb 0.667 0.667 0.000

Calculated values
The value obtained for the spin magnetization is 0.0 μB/f.u.

It turns out <w> is the most stable, with the second structure 14.2 kJ/mol of atoms higher.